## Pm2Sm2YMg5 (GGA-PBE)

Data for crystalline Pm2Sm2YMg5 at its relaxed geometry.

Lattice parameters (Å, degrees): 5.1171 10.6668 10.6668 90.00 90.00 90.00
Element x y z (fractional)
Mg 0.5000 0.9260 0.1938
Mg 0.5000 0.4260 0.3062
Sm 0.0000 0.6230 0.8770
Mg 0.5000 0.1938 0.0740
Mg 0.5000 0.5740 0.6938
Mg 0.5000 0.8062 0.9260
Mg 0.5000 0.0740 0.8062
Sm 0.0000 0.8770 0.3770
Mg 0.5000 0.3062 0.5740
Pm 0.0000 0.6755 0.1755
Sm 0.0000 0.1230 0.6230
Pm 0.0000 0.8245 0.6755
Mg 0.5000 0.0000 0.5000
Sm 0.0000 0.3770 0.1230
Pm 0.0000 0.1755 0.3245
Pm 0.0000 0.3245 0.8245
Mg 0.5000 0.6938 0.4260
Y 0.0000 0.5000 0.5000
Y 0.0000 0.0000 0.0000
Mg 0.5000 0.5000 0.0000

## Properties
For the total energy, the calculation gives -3.30 eV per atom. The formation energy comes out at 0.035 eV/atom. For the density of states at the Fermi level, the calculation gives 14.310 states/eV per cell. Its total magnetization is 0.0 μB per cell.